1.
The following is a GGA-PBE calculation of a relaxed Ac12Ir6Rh crystal, from the Alexandria database.

Cell and atoms, written as POSCAR:
```
Ac12Ir6Rh
1.0
6.7200 3.8798 4.1812
-6.7200 3.8798 4.1812
0.0000 -7.7596 4.1812
Ac Ir Rh
12 6 1
Cartesian
-5.8006 -1.4957 6.8807
-1.6049 -5.7713 5.6627
-2.7031 -0.2786 4.9133
-4.1956 4.2756 5.6628
1.5928 -2.2017 4.9133
-1.1103 -2.4803 7.6302
1.1103 2.4803 4.9133
-1.5928 2.2017 7.6302
4.1956 -4.2756 6.8807
2.7031 0.2786 7.6302
1.6050 5.7713 6.8807
5.8006 1.4957 5.6627
-1.1856 -3.0649 4.4113
-2.0615 2.5592 4.4113
-3.2471 -0.5057 8.1322
3.2471 0.5057 4.4113
2.0615 -2.5592 8.1322
1.1856 3.0649 8.1322
0.0000 0.0000 0.0000
```

Calculated values
E = -6.349 eV per atom
size of the total moment = 0.000 μB per atom
symmetry = R-3, No. 148
density = 10.103 g/cm3

***

2.
The following is a GGA-PBE calculation of a relaxed Dy8Tm4Zr crystal, from the Alexandria database.

Cell and atoms, written as POSCAR:
```
Dy8Tm4Zr
1.0
5.0841 -5.1165 0.0000
5.0841 5.1165 0.0000
-1.6001 0.0000 7.8517
Dy Tm Zr
8 4 1
Cartesian
0.7996 0.0000 5.1996
3.3350 2.5776 5.3589
2.3652 0.0000 2.0529
5.2330 2.5776 2.4928
3.3350 -2.5776 5.3589
6.2029 0.0000 5.7988
5.2330 -2.5776 2.4928
7.7684 0.0000 2.6521
0.0000 0.0000 0.0000
2.5420 2.5582 0.0000
2.5420 -2.5582 0.0000
5.0841 0.0000 0.0000
4.2840 0.0000 3.9259
```

Calculated values
E = -4.625 eV per atom
size of the total moment = 0.000 μB per atom
symmetry = C2/m, No. 12
density = 8.402 g/cm3

***

3.
The following is a GGA-PBE calculation of a relaxed La7CeGa4 crystal, from the Alexandria database.

Cell and atoms, written as POSCAR:
```
La7CeGa4
1.0
7.0084 -2.8562 0.0000
7.0084 2.8562 0.0000
-6.1089 0.0000 8.9398
La Ce Ga
7 1 4
Cartesian
0.0000 0.0000 0.0000
-1.0898 0.0000 5.7490
3.5005 0.0000 1.0093
2.2906 0.0000 5.5514
5.6174 0.0000 3.3885
4.4075 0.0000 7.9305
8.9978 0.0000 3.1908
7.0084 0.0000 0.0000
-3.9066 0.0000 6.7599
0.4894 0.0000 2.9600
7.4185 0.0000 5.9799
11.8146 0.0000 2.1800
```

Calculated values
E = -4.618 eV per atom
size of the total moment = 0.117 μB per atom
symmetry = C2/m, No. 12
density = 6.455 g/cm3

***

4.
The following is a GGA-PBE calculation of a relaxed GeBF2 crystal, from the Alexandria database.

Cell and atoms, written as POSCAR:
```
GeBF2
1.0
0.0000 2.9386 2.9386
2.9386 0.0000 2.9386
2.9386 2.9386 0.0000
Ge B F
1 1 2
Cartesian
0.0000 0.0000 0.0000
2.9386 2.9386 2.9386
1.4693 1.4693 1.4693
4.4079 4.4079 4.4079
```

Calculated values
E above lowest polymorph = 80.48 kJ/mol of atoms
E = -3.742 eV per atom
size of the total moment = 0.000 μB per atom
symmetry = Fm-3m, No. 225
density = 3.974 g/cm3
ΔE_f (raw) = 18 meV per atom

***

5.
The following is a GGA-PBE calculation of a relaxed Zr2ZnCd crystal, from the Alexandria database.

Cell and atoms, written as POSCAR:
```
Zr2ZnCd
1.0
3.4330 0.0000 0.0000
0.0000 4.8708 0.0000
0.0000 0.0000 4.8697
Zr Zn Cd
2 1 1
Cartesian
0.0000 0.0000 0.0000
0.0000 2.4354 2.4287
1.7165 0.0000 2.4372
1.7165 2.4354 4.8626
```

Calculated values
E above lowest polymorph = 4.36 kJ/mol of atoms
E = -4.959 eV per atom
size of the total moment = 0.000 μB per atom
symmetry = Pmm2, No. 25
density = 7.347 g/cm3

***

6.
The following is a GGA-PBE calculation of a relaxed LaTi2CoAs crystal, from the Alexandria database.

Cell and atoms, written as POSCAR:
```
LaTi2CoAs
1.0
4.7032 0.0000 0.0000
0.0000 4.7032 0.0000
0.0000 0.0000 5.6314
La Ti Co As
1 2 1 1
Cartesian
0.0000 0.0000 0.0000
0.0000 2.3516 2.8157
2.3516 0.0000 2.8157
2.3516 2.3516 0.0000
0.0000 0.0000 2.8157
```

Calculated values
E = -6.059 eV per atom
size of the total moment = 0.286 μB per atom
symmetry = P4/mmm, No. 123
density = 4.912 g/cm3

***

7.
The following is a GGA-PBE calculation of a relaxed CaLa3P4 crystal, from the Alexandria database.

Cell and atoms, written as POSCAR:
```
CaLa3P4
1.0
6.0044 0.0000 0.0000
0.0000 6.0044 0.0000
0.0000 0.0000 6.0044
Ca La P
1 3 4
Cartesian
0.0000 0.0000 0.0000
0.0000 3.0022 3.0022
3.0022 0.0000 3.0022
3.0022 3.0022 0.0000
0.0000 0.0000 3.0022
0.0000 3.0022 0.0000
3.0022 0.0000 0.0000
3.0022 3.0022 3.0022
```

Calculated values
E = -6.169 eV per atom
size of the total moment = 0.000 μB per atom
symmetry = Pm-3m, No. 221
density = 4.454 g/cm3

***

8.
The following is a GGA-PBE calculation of a relaxed CrFeI crystal, from the Alexandria database.

Cell and atoms, written as POSCAR:
```
CrFeI
1.0
3.7558 0.0000 0.0000
0.0000 1.8394 8.8457
0.0000 -1.8394 8.8457
Cr Fe I
2 2 2
Cartesian
0.0000 0.0000 0.0000
1.8779 0.0000 8.7723
0.0000 0.0000 10.3117
1.8779 0.0000 1.3688
0.0000 0.0000 6.8397
1.8779 0.0000 12.1239
```

Calculated values
E above lowest polymorph = 0.00 kJ/mol of atoms
E = -6.375 eV per atom
size of the total moment = 0.048 μB per atom
symmetry = Amm2, No. 38
density = 6.379 g/cm3
ΔE_f (raw) = 171 meV per atom

***

9.
The following is a GGA-PBE calculation of a relaxed Dy3YIr8 crystal, from the Alexandria database.

Cell and atoms, written as POSCAR:
```
Dy3YIr8
1.0
2.6811 1.5479 8.7479
-2.6811 1.5479 8.7479
0.0000 -3.0958 8.7479
Dy Y Ir
3 1 8
Cartesian
0.0000 0.0000 0.0000
0.0000 0.0000 3.2787
0.0000 0.0000 13.1193
0.0000 0.0000 16.3999
0.0000 -1.5476 6.0101
-1.3403 0.7738 6.0101
-1.3396 -0.7734 10.3887
0.0000 0.0000 8.1999
1.3403 0.7738 6.0102
1.3396 -0.7734 10.3887
0.0000 1.5469 10.3887
0.0000 0.0000 21.3214
```

Calculated values
E = -8.406 eV per atom
size of the total moment = 0.000 μB per atom
symmetry = R3m, No. 160
density = 16.113 g/cm3

***

10.
The following is a GGA-PBE calculation of a relaxed Sc2TaTc crystal, from the Alexandria database.

Cell and atoms, written as POSCAR:
```
Sc2TaTc
1.0
-1.6616 2.4305 4.8257
1.6616 -2.4305 4.8257
1.6616 2.4305 -4.8257
Sc Ta Tc
2 1 1
Cartesian
0.0000 0.0000 0.0000
0.0000 2.4305 2.0839
1.6616 0.0000 2.7669
0.0000 0.0000 4.6594
```

Calculated values
E above lowest polymorph = 3.95 kJ/mol of atoms
E = -8.863 eV per atom
size of the total moment = 0.000 μB per atom
symmetry = Imm2, No. 44
density = 7.857 g/cm3

***

11.
The following is a GGA-PBE calculation of a relaxed La6FePt2Cl3 crystal, from the Alexandria database.

Cell and atoms, written as POSCAR:
```
La6FePt2Cl3
1.0
3.6174 -6.3022 0.0000
3.6174 6.3022 0.0000
-2.3693 0.0000 7.5921
La Fe Pt Cl
6 1 2 3
Cartesian
1.1351 1.9690 1.5543
-0.1091 0.0000 6.0483
1.1351 -1.9690 1.5543
3.7304 1.9690 6.0378
4.9746 0.0000 1.5438
3.7304 -1.9690 6.0378
0.0000 0.0000 0.0000
3.6174 2.1112 0.0000
3.6174 -2.1112 0.0000
2.4328 4.3181 3.7960
2.4328 0.0000 3.7960
2.4328 -4.3181 3.7960
```

Calculated values
E = -5.875 eV per atom
size of the total moment = 0.000 μB per atom
symmetry = C2/m, No. 12
density = 6.648 g/cm3
ΔE_f (raw) = -1238 meV per atom

***

12.
The following is a GGA-PBE calculation of a relaxed ScGaAg2 crystal, from the Alexandria database.

Cell and atoms, written as POSCAR:
```
ScGaAg2
1.0
-2.0124 2.0124 9.8779
2.0124 -2.0124 9.8779
2.0124 2.0124 -9.8779
Sc Ga Ag
2 2 4
Cartesian
0.0000 0.0000 0.0000
0.0000 2.0124 4.9390
2.0124 0.0000 4.9390
0.0000 0.0000 9.8779
1.0062 -0.9620 7.4084
1.0504 1.0062 2.4695
1.0062 2.9744 -2.4695
0.9620 1.0062 12.3474
```

Calculated values
E = -3.804 eV per atom
size of the total moment = 0.000 μB per atom
symmetry = I-42d, No. 122
density = 6.858 g/cm3